Entry 1:
Entry from Alexandria: crystalline TlRe2Ag at its relaxed geometry (PBEsol).

Cell: 5.5530 9.9339 2.8015 Å, 90.00 119.59 90.00°
Closest atoms and distances in Å follow each position.
Space group C2/m (No. 12)
Asymmetric unit:
1 Tl 0.0000 0.0000 0.0000 (multiplicity 2)  4 Ag 2.78-2.81, 2 Tl 2.80, 4 Re 2.85
2 Re 0.2500 0.2500 0.5000 (multiplicity 4)  6 Re 2.78-2.81, 2 Tl 2.85, 2 Ag 2.85
3 Ag 0.0000 0.5000 0.0000 (multiplicity 2)  4 Tl 2.78-2.81, 2 Ag 2.80, 4 Re 2.85

Values from the calculation:
Volume = 134.4 Å³ per cell
Fermi-level density of states = 0.816 states/eV/atom
DFT formation energy = 0.9128 eV per atom
E above lowest polymorph = 35 meV per atom

Entry 2:
Entry from Alexandria: crystalline MgZn3 at its relaxed geometry (PBEsol).

Cell: 3.9816 3.9816 15.6858 Å, 90.00 90.00 90.00°
Closest atoms and distances in Å follow each position.
Space group I4/mmm (No. 139)
Asymmetric unit:
1 Mg 0.0000 0.0000 0.1237 (multiplicity 4)  12 Zn 2.78-2.82
2 Zn 0.0000 0.0000 0.3708 (multiplicity 4)  8 Zn 2.75-2.84, 4 Mg 2.82
3 Zn 0.0000 0.5000 0.0000 (multiplicity 4)  4 Mg 2.78, 8 Zn 2.82-2.84
4 Zn 0.0000 0.5000 0.2500 (multiplicity 4)  8 Zn 2.75-2.82, 4 Mg 2.81

Values from the calculation:
Volume = 248.7 Å³ per cell
Fermi-level density of states = 0.314 states/eV/atom
DFT formation energy = -0.0312 eV per atom

Entry 3:
Entry from Alexandria: crystalline CsReCl4 at its relaxed geometry (PBEsol).

Cell: 10.6432 14.0260 13.9806 Å, 90.00 90.00 90.00°
Closest atoms and distances in Å follow each position.
Space group Ama2 (No. 40)
Asymmetric unit:
1 Cs 0.0000 0.0000 0.0000 (multiplicity 4)  12 Cl 3.45-3.86
2 Cs 0.2500 0.0901 0.6081 (multiplicity 4)  6 Cl 3.32-3.71
3 Cs 0.2500 0.3192 0.8769 (multiplicity 4)  7 Cl 3.37-3.67
4 Re 0.1348 0.2837 0.2696 (multiplicity 8)  5 Cl 2.30-2.55, 2 Re 2.45
5 Re 0.2500 0.1398 0.2225 (multiplicity 4)  5 Cl 2.30-2.56, 2 Re 2.45
6 Cl 0.0242 0.1416 0.2226 (multiplicity 8)  2 Re 2.40-2.41
7 Cl 0.0743 0.1324 0.7998 (multiplicity 8)  1 Re 2.55
8 Cl 0.1000 0.3496 0.1199 (multiplicity 8)  1 Re 2.32
9 Cl 0.1015 0.2474 0.4283 (multiplicity 8)  1 Re 2.30
10 Cl 0.2500 0.0620 0.3676 (multiplicity 4)  1 Re 2.30
11 Cl 0.2500 0.1621 0.0589 (multiplicity 4)  1 Re 2.31
12 Cl 0.2500 0.4240 0.3150 (multiplicity 4)  2 Re 2.40
13 Cl 0.2500 0.4668 0.6639 (multiplicity 4)  1 Re 2.56

Values from the calculation:
Calculated total energy = -350.2 eV/cell
Volume = 2087.0 Å³ per cell

Entry 4:
Entry from Alexandria: crystalline Si2AsBr at its relaxed geometry (PBEsol).

Cell: 6.6260 6.6260 6.6260 Å, 90.00 90.00 90.00°
Closest atoms and distances in Å follow each position.
Space group F-43m (No. 216)
Asymmetric unit:
1 Si 0.0000 0.0000 0.0000 (multiplicity 4)  4 Si 2.87, 4 As 2.87
2 Si 0.2500 0.2500 0.2500 (multiplicity 4)  4 Br 2.87, 4 Si 2.87
3 As 0.2500 0.2500 0.7500 (multiplicity 4)  4 Br 2.87, 4 Si 2.87
4 Br 0.0000 0.0000 0.5000 (multiplicity 4)  4 As 2.87, 4 Si 2.87

Values from the calculation:
Volume = 290.9 Å³ per cell
Fermi-level density of states = 0.385 states/eV/atom
E above lowest polymorph = 273 meV per atom

Entry 5:
Entry from Alexandria: crystalline Ru3Se at its relaxed geometry (PBEsol).

Cell: 2.7643 4.6818 8.9296 Å, 90.00 90.00 90.00°
Closest atoms and distances in Å follow each position.
Space group Cmmm (No. 65)
Asymmetric unit:
1 Ru 0.0000 0.0000 0.0000 (multiplicity 2)  10 Ru 2.59-2.76
2 Ru 0.0000 0.5000 0.2451 (multiplicity 4)  8 Ru 2.59-2.76, 2 Se 2.66
3 Se 0.0000 0.0000 0.5000 (multiplicity 2)  4 Ru 2.66, 6 Se 2.72-2.76

Values from the calculation:
Calculated total energy = -63.4 eV/cell
Volume = 115.6 Å³ per cell
Fermi-level density of states = 1.553 states/eV/atom

Entry 6:
Entry from Alexandria: crystalline GaReHAu2 at its relaxed geometry (PBEsol).

Cell: 3.8621 3.8621 4.4646 Å, 90.00 90.00 90.00°
Closest atoms and distances in Å follow each position.
Space group P4/mmm (No. 123)
Asymmetric unit:
1 Ga 0.0000 0.0000 0.0000 (multiplicity 1)  2 H 2.23
2 Re 0.5000 0.5000 0.0000 (multiplicity 1)  4 Ga 2.73, 8 Au 2.95
3 H 0.0000 0.0000 0.5000 (multiplicity 1)  4 Au 1.93
4 Au 0.0000 0.5000 0.5000 (multiplicity 2)  2 H 1.93

Values from the calculation:
Calculated total energy = -25.0 eV/cell
Volume = 66.6 Å³ per cell
Fermi-level density of states = 0.733 states/eV/atom

> volume of number 4 (Si2AsBr)?

290.9 Å³ per cell